Density functional theory data (GGA-PBE) for Nd2AlSn after structural relaxation.

CIF file:
```
data_Nd2AlSn
_chemical_formula_sum 'Nd4 Al2 Sn2'
_space_group_name_H-M_alt 'P 1'
_space_group_IT_number 1
_space_group_name_Hall 'P 1'
_cell_length_a 7.068
_cell_length_b 6.630
_cell_length_c 6.597
_cell_angle_alpha 64.60
_cell_angle_beta 57.92
_cell_angle_gamma 57.48
loop_
_atom_site_label
_atom_site_type_symbol
_atom_site_fract_x
_atom_site_fract_y
_atom_site_fract_z
_atom_site_occupancy
Nd1 Nd 0.198 0.802 0.802 1
Nd2 Nd 0.250 0.250 0.250 1
Nd3 Nd 0.750 0.750 0.750 1
Nd4 Nd 0.802 0.198 0.198 1
Al1 Al 0.288 0.712 0.288 1
Al2 Al 0.712 0.288 0.712 1
Sn1 Sn 0.295 0.295 0.705 1
Sn2 Sn 0.705 0.705 0.295 1
```

Space-group type: Fmmm, No. 69
DOS at the Fermi energy in states/eV/cell: 5.00

Density functional theory data (GGA-PBE) for Nd6AlSn after structural relaxation.

CIF file:
```
data_Nd6AlSn
_chemical_formula_sum 'Nd6 Al1 Sn1'
_space_group_name_H-M_alt 'P 1'
_space_group_IT_number 1
_space_group_name_Hall 'P 1'
_cell_length_a 4.931
_cell_length_b 4.931
_cell_length_c 9.855
_cell_angle_alpha 90.00
_cell_angle_beta 90.00
_cell_angle_gamma 90.00
loop_
_atom_site_label
_atom_site_type_symbol
_atom_site_fract_x
_atom_site_fract_y
_atom_site_fract_z
_atom_site_occupancy
Nd1 Nd 0.000 0.000 0.000 1
Nd2 Nd 0.000 0.000 0.500 1
Nd3 Nd 0.000 0.500 0.247 1
Nd4 Nd 0.000 0.500 0.753 1
Nd5 Nd 0.500 0.000 0.247 1
Nd6 Nd 0.500 0.000 0.753 1
Al1 Al 0.500 0.500 0.000 1
Sn1 Sn 0.500 0.500 0.500 1
```

Space-group type: P4/mmm, No. 123
DOS at the Fermi energy in states/eV/cell: 10.90

Density functional theory data (GGA-PBE) for Nd8Al2Sn after structural relaxation.

CIF file:
```
data_Nd8Al2Sn
_chemical_formula_sum 'Nd8 Al2 Sn1'
_space_group_name_H-M_alt 'P 1'
_space_group_IT_number 1
_space_group_name_Hall 'P 1'
_cell_length_a 9.077
_cell_length_b 9.077
_cell_length_c 8.137
_cell_angle_alpha 110.10
_cell_angle_beta 110.10
_cell_angle_gamma 32.11
loop_
_atom_site_label
_atom_site_type_symbol
_atom_site_fract_x
_atom_site_fract_y
_atom_site_fract_z
_atom_site_occupancy
Nd1 Nd 0.048 0.048 0.238 1
Nd2 Nd 0.160 0.160 0.735 1
Nd3 Nd 0.324 0.324 0.564 1
Nd4 Nd 0.396 0.396 0.045 1
Nd5 Nd 0.604 0.604 0.955 1
Nd6 Nd 0.676 0.676 0.436 1
Nd7 Nd 0.840 0.840 0.265 1
Nd8 Nd 0.952 0.952 0.762 1
Al1 Al 0.216 0.216 0.163 1
Al2 Al 0.784 0.784 0.837 1
Sn1 Sn 0.500 0.500 0.500 1
```

Space-group type: C2/m, No. 12
DOS at the Fermi energy in states/eV/cell: 12.42

Density functional theory data (GGA-PBE) for Nd5Al2Sn2 after structural relaxation.

CIF file:
```
data_Nd5Al2Sn2
_chemical_formula_sum 'Nd10 Al4 Sn4'
_space_group_name_H-M_alt 'P 1'
_space_group_IT_number 1
_space_group_name_Hall 'P 1'
_cell_length_a 9.055
_cell_length_b 9.055
_cell_length_c 8.212
_cell_angle_alpha 90.00
_cell_angle_beta 90.00
_cell_angle_gamma 54.63
loop_
_atom_site_label
_atom_site_type_symbol
_atom_site_fract_x
_atom_site_fract_y
_atom_site_fract_z
_atom_site_occupancy
Nd1 Nd 0.000 0.000 0.000 1
Nd2 Nd 0.042 0.681 0.676 1
Nd3 Nd 0.181 0.542 0.176 1
Nd4 Nd 0.319 0.958 0.676 1
Nd5 Nd 0.458 0.819 0.176 1
Nd6 Nd 0.500 0.500 0.500 1
Nd7 Nd 0.542 0.181 0.824 1
Nd8 Nd 0.681 0.042 0.324 1
Nd9 Nd 0.819 0.458 0.824 1
Nd10 Nd 0.958 0.319 0.324 1
Al1 Al 0.113 0.887 0.386 1
Al2 Al 0.387 0.613 0.886 1
Al3 Al 0.613 0.387 0.114 1
Al4 Al 0.887 0.113 0.614 1
Sn1 Sn 0.208 0.208 0.000 1
Sn2 Sn 0.292 0.292 0.500 1
Sn3 Sn 0.708 0.708 0.500 1
Sn4 Sn 0.792 0.792 0.000 1
```

Space-group type: Cmce, No. 64
DOS at the Fermi energy in states/eV/cell: 16.17

Density functional theory data (GGA-PBE) for Nd3Al2Sn4 after structural relaxation.

CIF file:
```
data_Nd3Al2Sn4
_chemical_formula_sum 'Nd3 Al2 Sn4'
_space_group_name_H-M_alt 'P 1'
_space_group_IT_number 1
_space_group_name_Hall 'P 1'
_cell_length_a 4.626
_cell_length_b 7.072
_cell_length_c 8.451
_cell_angle_alpha 68.87
_cell_angle_beta 74.15
_cell_angle_gamma 89.99
loop_
_atom_site_label
_atom_site_type_symbol
_atom_site_fract_x
_atom_site_fract_y
_atom_site_fract_z
_atom_site_occupancy
Nd1 Nd 0.000 0.000 0.000 1
Nd2 Nd 0.134 0.620 0.733 1
Nd3 Nd 0.866 0.380 0.267 1
Al1 Al 0.338 0.017 0.322 1
Al2 Al 0.662 0.983 0.678 1
Sn1 Sn 0.212 0.230 0.576 1
Sn2 Sn 0.485 0.692 0.029 1
Sn3 Sn 0.515 0.308 0.971 1
Sn4 Sn 0.788 0.770 0.424 1
```

Space-group type: P-1, No. 2
DOS at the Fermi energy in states/eV/cell: 4.04

Density functional theory data (GGA-PBE) for NdAl4Sn after structural relaxation.

CIF file:
```
data_NdAl4Sn
_chemical_formula_sum 'Nd1 Al4 Sn1'
_space_group_name_H-M_alt 'P 1'
_space_group_IT_number 1
_space_group_name_Hall 'P 1'
_cell_length_a 5.636
_cell_length_b 5.636
_cell_length_c 5.636
_cell_angle_alpha 60.00
_cell_angle_beta 60.00
_cell_angle_gamma 60.00
loop_
_atom_site_label
_atom_site_type_symbol
_atom_site_fract_x
_atom_site_fract_y
_atom_site_fract_z
_atom_site_occupancy
Nd1 Nd 0.000 0.000 0.000 1
Al1 Al 0.375 0.375 0.375 1
Al2 Al 0.375 0.375 0.874 1
Al3 Al 0.375 0.874 0.375 1
Al4 Al 0.874 0.375 0.375 1
Sn1 Sn 0.750 0.750 0.750 1
```

Space-group type: F-43m, No. 216
DOS at the Fermi energy in states/eV/cell: 4.65

Density functional theory data (GGA-PBE) for Nd4AlSn2 after structural relaxation.

CIF file:
```
data_Nd4AlSn2
_chemical_formula_sum 'Nd4 Al1 Sn2'
_space_group_name_H-M_alt 'P 1'
_space_group_IT_number 1
_space_group_name_Hall 'P 1'
_cell_length_a 10.896
_cell_length_b 10.896
_cell_length_c 10.896
_cell_angle_alpha 26.90
_cell_angle_beta 26.90
_cell_angle_gamma 26.90
loop_
_atom_site_label
_atom_site_type_symbol
_atom_site_fract_x
_atom_site_fract_y
_atom_site_fract_z
_atom_site_occupancy
Nd1 Nd 0.124 0.124 0.124 1
Nd2 Nd 0.296 0.296 0.296 1
Nd3 Nd 0.704 0.704 0.704 1
Nd4 Nd 0.876 0.876 0.876 1
Al1 Al 0.500 0.500 0.500 1
Sn1 Sn 0.405 0.405 0.405 1
Sn2 Sn 0.595 0.595 0.595 1
```

Space-group type: R-3m, No. 166
DOS at the Fermi energy in states/eV/cell: 9.67

Density functional theory data (GGA-PBE) for Nd2AlSn after structural relaxation.

CIF file:
```
data_Nd2AlSn
_chemical_formula_sum 'Nd2 Al1 Sn1'
_space_group_name_H-M_alt 'P 1'
_space_group_IT_number 1
_space_group_name_Hall 'P 1'
_cell_length_a 4.969
_cell_length_b 4.969
_cell_length_c 4.420
_cell_angle_alpha 90.00
_cell_angle_beta 90.00
_cell_angle_gamma 90.00
loop_
_atom_site_label
_atom_site_type_symbol
_atom_site_fract_x
_atom_site_fract_y
_atom_site_fract_z
_atom_site_occupancy
Nd1 Nd 0.000 0.500 0.000 1
Nd2 Nd 0.500 0.000 0.000 1
Al1 Al 0.000 0.000 0.500 1
Sn1 Sn 0.500 0.500 0.500 1
```

Space-group type: P4/mmm, No. 123
DOS at the Fermi energy in states/eV/cell: 3.02

Density functional theory data (GGA-PBE) for NdAlSn after structural relaxation.

CIF file:
```
data_NdAlSn
_chemical_formula_sum 'Nd2 Al2 Sn2'
_space_group_name_H-M_alt 'P 1'
_space_group_IT_number 1
_space_group_name_Hall 'P 1'
_cell_length_a 4.579
_cell_length_b 4.579
_cell_length_c 8.409
_cell_angle_alpha 90.00
_cell_angle_beta 90.00
_cell_angle_gamma 120.00
loop_
_atom_site_label
_atom_site_type_symbol
_atom_site_fract_x
_atom_site_fract_y
_atom_site_fract_z
_atom_site_occupancy
Nd1 Nd 0.000 0.000 0.000 1
Nd2 Nd 0.000 0.000 0.500 1
Al1 Al 0.333 0.667 0.250 1
Al2 Al 0.667 0.333 0.750 1
Sn1 Sn 0.333 0.667 0.750 1
Sn2 Sn 0.667 0.333 0.250 1
```

Space-group type: P6_3/mmc, No. 194
DOS at the Fermi energy in states/eV/cell: 1.45

Density functional theory data (GGA-PBE) for Nd4Al3Sn after structural relaxation.

CIF file:
```
data_Nd4Al3Sn
_chemical_formula_sum 'Nd4 Al3 Sn1'
_space_group_name_H-M_alt 'P 1'
_space_group_IT_number 1
_space_group_name_Hall 'P 1'
_cell_length_a 4.286
_cell_length_b 4.598
_cell_length_c 11.606
_cell_angle_alpha 90.00
_cell_angle_beta 90.00
_cell_angle_gamma 90.00
loop_
_atom_site_label
_atom_site_type_symbol
_atom_site_fract_x
_atom_site_fract_y
_atom_site_fract_z
_atom_site_occupancy
Nd1 Nd 0.000 0.000 0.000 1
Nd2 Nd 0.000 0.500 0.490 1
Nd3 Nd 0.500 0.000 0.711 1
Nd4 Nd 0.500 0.500 0.214 1
Al1 Al 0.000 0.000 0.286 1
Al2 Al 0.500 0.000 0.425 1
Al3 Al 0.500 0.500 0.932 1
Sn1 Sn 0.000 0.500 0.779 1
```

Space-group type: Pmm2, No. 25
DOS at the Fermi energy in states/eV/cell: 8.64

Density functional theory data (GGA-PBE) for Nd3Al2Sn2 after structural relaxation.

CIF file:
```
data_Nd3Al2Sn2
_chemical_formula_sum 'Nd3 Al2 Sn2'
_space_group_name_H-M_alt 'P 1'
_space_group_IT_number 1
_space_group_name_Hall 'P 1'
_cell_length_a 10.262
_cell_length_b 10.262
_cell_length_c 10.262
_cell_angle_alpha 155.47
_cell_angle_beta 154.43
_cell_angle_gamma 35.73
loop_
_atom_site_label
_atom_site_type_symbol
_atom_site_fract_x
_atom_site_fract_y
_atom_site_fract_z
_atom_site_occupancy
Nd1 Nd 0.000 0.000 0.000 1
Nd2 Nd 0.184 0.684 0.500 1
Nd3 Nd 0.816 0.316 0.500 1
Al1 Al 0.436 0.436 0.000 1
Al2 Al 0.564 0.564 0.000 1
Sn1 Sn 0.353 0.853 0.500 1
Sn2 Sn 0.647 0.147 0.500 1
```

Space-group type: Immm, No. 71
DOS at the Fermi energy in states/eV/cell: 6.16

Density functional theory data (GGA-PBE) for Nd4AlSn after structural relaxation.

CIF file:
```
data_Nd4AlSn
_chemical_formula_sum 'Nd4 Al1 Sn1'
_space_group_name_H-M_alt 'P 1'
_space_group_IT_number 1
_space_group_name_Hall 'P 1'
_cell_length_a 5.265
_cell_length_b 5.265
_cell_length_c 7.431
_cell_angle_alpha 90.00
_cell_angle_beta 90.00
_cell_angle_gamma 90.00
loop_
_atom_site_label
_atom_site_type_symbol
_atom_site_fract_x
_atom_site_fract_y
_atom_site_fract_z
_atom_site_occupancy
Nd1 Nd 0.000 0.500 0.237 1
Nd2 Nd 0.000 0.500 0.763 1
Nd3 Nd 0.500 0.000 0.237 1
Nd4 Nd 0.500 0.000 0.763 1
Al1 Al 0.000 0.000 0.000 1
Sn1 Sn 0.500 0.500 0.500 1
```

Space-group type: P4/mmm, No. 123
Energy relative to the lowest polymorph listed for this composition in eV per formula unit: 0.00
DOS at the Fermi energy in states/eV/cell: 8.98

no.,formation energy (eV per atom),volume (A^3/atom),size of the total moment (μB per formula unit)
1,-0.5502,27.05,0.00
2,-0.3138,29.95,0.00
3,-0.2555,30.25,0.00
4,-0.4970,30.50,0.00
5,-0.5416,27.40,0.00
6,-0.2003,21.09,0.00
7,-0.3822,33.37,0.00
8,-0.5021,27.29,0.00
9,-0.5308,25.45,0.00
10,-0.4747,28.59,0.59
11,-0.6352,27.64,0.01
12,-0.2330,34.33,0.00